Record 1
NpSnBiO6: relaxed, PBE.

Cell: 5.611 5.611 9.963 Å, 90.00 90.00 120.00°
Atoms (fractional coordinates):
Np: 0.333 0.667 0.250
Np: 0.667 0.333 0.750
Sn: 0.333 0.667 0.750
Sn: 0.667 0.333 0.250
Bi: 0.000 0.000 0.000
Bi: 0.000 0.000 0.500
O: 0.006 0.357 0.637
O: 0.006 0.649 0.863
O: 0.351 0.357 0.863
O: 0.351 0.994 0.637
O: 0.357 0.006 0.137
O: 0.357 0.351 0.363
O: 0.643 0.649 0.637
O: 0.643 0.994 0.863
O: 0.649 0.006 0.363
O: 0.649 0.643 0.137
O: 0.994 0.351 0.137
O: 0.994 0.643 0.363

## Properties
Its space group is No. 163. Its crystal system is trigonal.



Record 2
Np2Sn2BiO2: relaxed, PBE.

Cell: 3.708 3.708 14.403 Å, 90.00 90.00 120.00°
Atoms (fractional coordinates):
Np: 0.333 0.667 0.107
Np: 0.667 0.333 0.893
Sn: 0.000 0.000 0.283
Sn: 0.000 0.000 0.717
Bi: 0.000 0.000 0.500
O: 0.333 0.667 0.939
O: 0.667 0.333 0.061

## Properties
Its space group is No. 164. Its crystal system is trigonal.



So what do the calculations give for formation energy (no corrections)? Going down the list: -1.943, -1.235 eV/atom.